A relaxed Cd2CuHg crystal. Source: Alexandria, functional PBE-GGA.

Output
D(E_F): 0.18 states/eV/atom
energy relative to the elements: 0.100 eV per atom

Cell: 2.9845 3.5367 7.6145 Å, 90.00 90.00 90.00°
Atoms (fractional coordinates):
Cd 0.0000 0.0000 0.0000
Cd 0.5000 0.5000 0.2851
Cu 0.0000 0.0000 0.4957
Hg 0.5000 0.5000 0.7121